Here is Er4CdAu2 after structural relaxation from the Alexandria database. Energies are from GGA-PBE.

Cell and atoms, written as POSCAR:
```
Er4CdAu2
1.0
2.427 1.401 9.479
-2.427 1.401 9.479
0.000 -2.802 9.479
Er Cd Au
4 1 2
Direct
0.114 0.114 0.114 Er
0.297 0.297 0.297 Er
0.703 0.703 0.703 Er
0.886 0.886 0.886 Er
0.500 0.500 0.500 Cd
0.400 0.400 0.400 Au
0.600 0.600 0.600 Au
```

Values from the calculation:
- Offset from the most stable computed form: 0.824 eV/f.u.
- Space-group type: R-3m (166)
- Energy of formation from the pure elements: -9.47 kcal/mol of atoms